Below is an optimized crystal structure of TlNiPt2, with properties calculated at the PBE-GGA level.

Unit cell a=2.949 b=2.949 c=27.008 alpha=90.00 beta=90.00 gamma=120.00
Positions (direct):
Tl1 0.000 0.000 0.000
Tl2 0.333 0.667 0.667
Tl3 0.667 0.333 0.333
Ni1 0.000 0.000 0.500
Ni2 0.333 0.667 0.167
Ni3 0.667 0.333 0.833
Pt1 0.000 0.000 0.239
Pt2 0.000 0.000 0.761
Pt3 0.333 0.667 0.427
Pt4 0.333 0.667 0.906
Pt5 0.667 0.333 0.094
Pt6 0.667 0.333 0.573

Calculated values
- SG = No. 166
- energy (eV/atom) = -4.86
- density of states at the Fermi level (states/eV/f.u.) = 4.725